PmMoPO6 PBE with a Hubbard U optimized geometry; total DFT energy (no corrections) = -63.8 eV per cell; SG = P312
1.0
-2.693 3.246 -1.463
0.894 -1.467 -4.901
-3.949 -2.081 2.654
O P Mo Pm
6 1 1 1
Direct
0.729 0.707 0.740
0.271 0.034 0.740
0.729 0.034 0.293
0.271 0.260 0.293
0.271 0.707 0.966
0.729 0.260 0.966
0.500 0.000 0.000
0.000 0.333 0.667
0.500 0.667 0.333